## NdPuIrRh (GGA-PBE)

Data for NdPuIrRh after structural relaxation.

a = 4.9312 Å, b = 4.9312 Å, c = 4.9312 Å
α = 60.00°, β = 60.00°, γ = 60.00°
With the nearest neighbours (Å) after each atom.
Fractional positions:
Nd 0.0000 0.0000 0.0000  4 Ir 3.02, 4 Rh 3.02
Pu 0.5000 0.5000 0.5000  4 Rh 3.02, 4 Ir 3.02
Ir 0.2500 0.2500 0.2500  4 Pu 3.02, 4 Nd 3.02
Rh 0.7500 0.7500 0.7500  4 Nd 3.02, 4 Pu 3.02

Values from the calculation:
crystal system	cubic
space group	No. 216
total energy	-9.3165	eV/atom
DOS at the Fermi energy	9.22	states/eV per cell